Entry 1:
! PBE RbTl3Bi, optimized geometry; values from VASP
&SYSTEM
  ibrav = 0, nat = 20, ntyp = 3
/
ATOMIC_SPECIES
Rb 85.47 Rb.upf
Tl 204.38 Tl.upf
Bi 208.98 Bi.upf
ATOMIC_POSITIONS angstrom
Rb 2.114 1.211 0.078
Rb 3.431 3.634 7.223
Rb 7.659 1.211 7.068
Rb 8.976 3.634 14.214
Tl 0.800 1.211 8.624
Tl 0.899 3.634 11.476
Tl 1.700 3.634 3.031
Tl 3.845 1.211 10.176
Tl 4.646 1.211 4.330
Tl 4.745 3.634 1.478
Tl 6.346 1.211 12.813
Tl 6.444 3.634 9.961
Tl 7.245 3.634 4.115
Tl 9.390 1.211 11.261
Tl 10.191 1.211 2.816
Tl 10.290 3.634 5.668
Bi 1.371 1.211 5.203
Bi 4.174 3.634 12.348
Bi 6.916 1.211 1.943
Bi 9.719 3.634 9.089
CELL_PARAMETERS angstrom
11.090 0.000 0.000
0.000 4.845 0.000
0.000 0.000 14.291
! Density of states at the Fermi level   0.45 states/eV per atom
! E above lowest polymorph   0.00 eV per formula unit


Entry 2:
! PBE Rb2TlBi, optimized geometry; values from VASP
&SYSTEM
  ibrav = 0, nat = 4, ntyp = 3
/
ATOMIC_SPECIES
Rb 85.47 Rb.upf
Tl 204.38 Tl.upf
Bi 208.98 Bi.upf
ATOMIC_POSITIONS angstrom
Rb 0.000 0.000 0.000
Rb -0.024 0.000 4.138
Tl 6.607 0.000 2.650
Bi 3.293 0.000 1.735
CELL_PARAMETERS angstrom
4.960 -2.828 0.000
4.960 2.828 0.000
-3.295 0.000 6.668
! Density of states at the Fermi level   0.01 states/eV per atom
! E above lowest polymorph   0.00 eV per formula unit


Entry 3:
! PBE RbTlBi2, optimized geometry; values from VASP
&SYSTEM
  ibrav = 0, nat = 8, ntyp = 3
/
ATOMIC_SPECIES
Rb 85.47 Rb.upf
Tl 204.38 Tl.upf
Bi 208.98 Bi.upf
ATOMIC_POSITIONS angstrom
Rb 2.830 5.764 6.092
Rb 2.830 -5.764 2.031
Tl 2.830 4.082 2.031
Tl 2.830 -4.082 6.092
Bi 2.830 1.481 4.542
Bi 2.830 1.481 7.642
Bi 2.830 -1.481 0.480
Bi 2.830 -1.481 3.581
CELL_PARAMETERS angstrom
2.830 -6.897 0.000
2.830 6.897 0.000
0.000 0.000 8.123
! Density of states at the Fermi level   0.38 states/eV per atom
! E above lowest polymorph   0.00 eV per formula unit


Entry 4:
! PBE RbTl14Bi, optimized geometry; values from VASP
&SYSTEM
  ibrav = 0, nat = 16, ntyp = 3
/
ATOMIC_SPECIES
Rb 85.47 Rb.upf
Tl 204.38 Tl.upf
Bi 208.98 Bi.upf
ATOMIC_POSITIONS angstrom
Rb 0.000 0.000 0.000
Tl 0.000 -1.666 8.310
Tl 0.000 1.666 8.310
Tl 2.551 0.000 2.969
Tl 2.862 -1.768 6.043
Tl 2.862 1.768 6.043
Tl 3.011 0.000 9.100
Tl 5.532 0.000 0.449
Tl 5.532 -1.740 3.535
Tl 5.532 1.740 3.535
Tl 5.532 0.000 6.683
Tl 8.053 0.000 9.100
Tl 8.201 -1.768 6.043
Tl 8.201 1.768 6.043
Tl 8.513 0.000 2.969
Bi 0.000 0.000 5.209
CELL_PARAMETERS angstrom
11.064 0.000 0.000
0.000 4.072 5.732
0.000 -4.072 5.732
! Total energy   -2.39 eV/atom
! Density of states at the Fermi level   0.52 states/eV per atom


Entry 5:
! PBE RbTl2Bi, optimized geometry; values from VASP
&SYSTEM
  ibrav = 0, nat = 4, ntyp = 3
/
ATOMIC_SPECIES
Rb 85.47 Rb.upf
Tl 204.38 Tl.upf
Bi 208.98 Bi.upf
ATOMIC_POSITIONS angstrom
Rb 0.000 0.000 0.000
Tl 0.000 0.000 10.485
Tl 0.000 0.000 15.041
Bi 0.000 0.000 3.835
CELL_PARAMETERS angstrom
2.769 1.599 6.372
-2.769 1.599 6.372
0.000 -3.198 6.372
! Density of states at the Fermi level   0.02 states/eV per atom
! E above lowest polymorph   0.19 eV per formula unit


Entry 6:
! PBE RbTl3Bi, optimized geometry; values from VASP
&SYSTEM
  ibrav = 0, nat = 5, ntyp = 3
/
ATOMIC_SPECIES
Rb 85.47 Rb.upf
Tl 204.38 Tl.upf
Bi 208.98 Bi.upf
ATOMIC_POSITIONS angstrom
Rb 0.000 0.000 0.000
Tl 0.000 0.000 3.104
Tl 0.000 3.104 0.000
Tl 3.104 0.000 0.000
Bi 3.104 3.104 3.104
CELL_PARAMETERS angstrom
6.207 0.000 0.000
0.000 6.207 0.000
0.000 0.000 6.207
! Density of states at the Fermi level   0.59 states/eV per atom
! E above lowest polymorph   4.21 eV per formula unit


Entry 7:
! PBE RbTlBi2, optimized geometry; values from VASP
&SYSTEM
  ibrav = 0, nat = 4, ntyp = 3
/
ATOMIC_SPECIES
Rb 85.47 Rb.upf
Tl 204.38 Tl.upf
Bi 208.98 Bi.upf
ATOMIC_POSITIONS angstrom
Rb 0.000 0.000 0.000
Tl 4.147 4.147 4.147
Bi 2.073 2.073 2.073
Bi 6.220 6.220 6.220
CELL_PARAMETERS angstrom
0.000 4.147 4.147
4.147 0.000 4.147
4.147 4.147 0.000
! Density of states at the Fermi level   0.79 states/eV per atom
! E above lowest polymorph   1.12 eV per formula unit


Entry 8:
! PBE RbTlBi3, optimized geometry; values from VASP
&SYSTEM
  ibrav = 0, nat = 10, ntyp = 3
/
ATOMIC_SPECIES
Rb 85.47 Rb.upf
Tl 204.38 Tl.upf
Bi 208.98 Bi.upf
ATOMIC_POSITIONS angstrom
Rb 0.000 0.000 0.000
Rb 3.615 3.496 3.728
Tl 0.960 3.496 6.242
Tl 2.650 0.000 2.519
Bi 3.654 1.807 7.341
Bi 3.654 5.184 7.341
Bi 4.844 0.000 4.891
Bi 6.207 3.496 1.164
Bi 7.392 1.677 3.612
Bi 7.392 5.314 3.612
CELL_PARAMETERS angstrom
7.441 0.000 0.000
0.000 6.992 0.000
-0.009 0.000 7.452
! Density of states at the Fermi level   0.60 states/eV per atom
! E above lowest polymorph   0.00 eV per formula unit


Entry 9:
! PBE RbTl2Bi, optimized geometry; values from VASP
&SYSTEM
  ibrav = 0, nat = 4, ntyp = 3
/
ATOMIC_SPECIES
Rb 85.47 Rb.upf
Tl 204.38 Tl.upf
Bi 208.98 Bi.upf
ATOMIC_POSITIONS angstrom
Rb 0.000 0.000 0.000
Tl 0.000 2.626 2.582
Tl 2.626 0.000 2.582
Bi 2.626 2.626 0.000
CELL_PARAMETERS angstrom
5.252 0.000 0.000
0.000 5.252 0.000
0.000 0.000 5.164
! Density of states at the Fermi level   0.80 states/eV per atom
! E above lowest polymorph   0.63 eV per formula unit


Entry 10:
! PBE RbTlBi3, optimized geometry; values from VASP
&SYSTEM
  ibrav = 0, nat = 5, ntyp = 3
/
ATOMIC_SPECIES
Rb 85.47 Rb.upf
Tl 204.38 Tl.upf
Bi 208.98 Bi.upf
ATOMIC_POSITIONS angstrom
Rb 0.000 0.000 0.000
Tl 3.005 3.005 3.005
Bi 0.000 3.005 3.005
Bi 3.005 0.000 3.005
Bi 3.005 3.005 0.000
CELL_PARAMETERS angstrom
6.010 0.000 0.000
0.000 6.010 0.000
0.000 0.000 6.010
! Density of states at the Fermi level   1.47 states/eV per atom
! E above lowest polymorph   2.13 eV per formula unit


Entry 11:
! PBE Rb3TlBi, optimized geometry; values from VASP
&SYSTEM
  ibrav = 0, nat = 5, ntyp = 3
/
ATOMIC_SPECIES
Rb 85.47 Rb.upf
Tl 204.38 Tl.upf
Bi 208.98 Bi.upf
ATOMIC_POSITIONS angstrom
Rb 0.000 0.000 3.588
Rb 0.000 3.588 0.000
Rb 3.588 0.000 0.000
Tl 3.588 3.588 3.588
Bi 0.000 0.000 0.000
CELL_PARAMETERS angstrom
7.176 0.000 0.000
0.000 7.176 0.000
0.000 0.000 7.176
! Density of states at the Fermi level   2.33 states/eV per atom
! E above lowest polymorph   1.18 eV per formula unit


Entry 12:
! PBE Rb5Tl4Bi2, optimized geometry; values from VASP
&SYSTEM
  ibrav = 0, nat = 11, ntyp = 3
/
ATOMIC_SPECIES
Rb 85.47 Rb.upf
Tl 204.38 Tl.upf
Bi 208.98 Bi.upf
ATOMIC_POSITIONS angstrom
Rb 0.000 0.000 0.000
Rb 2.959 1.869 6.117
Rb 6.223 1.869 3.539
Rb 2.959 -1.869 6.117
Rb 6.223 -1.869 3.539
Tl 2.902 0.000 2.546
Tl 4.724 0.000 0.045
Tl 4.458 0.000 9.611
Tl 6.280 0.000 7.110
Bi -0.363 0.000 7.083
Bi 9.545 0.000 2.573
CELL_PARAMETERS angstrom
6.397 -3.867 0.000
6.397 3.867 0.000
-3.611 0.000 9.656
! Total energy   -2.10 eV/atom
! Density of states at the Fermi level   0.55 states/eV per atom


Entry 13:
! PBE RbTlBi2, optimized geometry; values from VASP
&SYSTEM
  ibrav = 0, nat = 4, ntyp = 3
/
ATOMIC_SPECIES
Rb 85.47 Rb.upf
Tl 204.38 Tl.upf
Bi 208.98 Bi.upf
ATOMIC_POSITIONS angstrom
Rb 0.000 0.000 0.000
Tl 2.493 2.493 0.000
Bi 0.000 2.493 2.826
Bi 2.493 0.000 2.826
CELL_PARAMETERS angstrom
4.986 0.000 0.000
0.000 4.986 0.000
0.000 0.000 5.652
! Density of states at the Fermi level   0.59 states/eV per atom
! E above lowest polymorph   0.31 eV per formula unit


Entry 14:
! PBE RbTl2Bi, optimized geometry; values from VASP
&SYSTEM
  ibrav = 0, nat = 8, ntyp = 3
/
ATOMIC_SPECIES
Rb 85.47 Rb.upf
Tl 204.38 Tl.upf
Bi 208.98 Bi.upf
ATOMIC_POSITIONS angstrom
Rb 2.638 5.541 6.746
Rb 2.638 -5.541 2.249
Tl 2.638 1.758 4.946
Tl 2.638 1.758 8.545
Tl 2.638 -1.758 0.449
Tl 2.638 -1.758 4.048
Bi 2.638 3.777 2.249
Bi 2.638 -3.777 6.746
CELL_PARAMETERS angstrom
2.638 -6.527 0.000
2.638 6.527 0.000
0.000 0.000 8.995
! Density of states at the Fermi level   0.31 states/eV per atom
! E above lowest polymorph   0.00 eV per formula unit


Entry 15:
! PBE Rb3Tl8Bi3, optimized geometry; values from VASP
&SYSTEM
  ibrav = 0, nat = 14, ntyp = 3
/
ATOMIC_SPECIES
Rb 85.47 Rb.upf
Tl 204.38 Tl.upf
Bi 208.98 Bi.upf
ATOMIC_POSITIONS angstrom
Rb 0.000 0.000 0.000
Rb 3.805 0.000 2.934
Rb 9.074 0.000 6.530
Tl -3.073 0.000 8.049
Tl 0.019 0.000 4.094
Tl -0.155 0.000 9.218
Tl 7.664 0.000 2.980
Tl 5.214 0.000 6.484
Tl 13.034 0.000 0.246
Tl 12.859 0.000 5.371
Tl 15.952 0.000 1.415
Bi -3.398 0.000 4.732
Bi 1.966 0.000 6.804
Bi 10.912 0.000 2.661
CELL_PARAMETERS angstrom
9.837 -2.784 0.000
9.837 2.784 0.000
-6.796 0.000 9.464
! Density of states at the Fermi level   0.39 states/eV per atom
! E above lowest polymorph   0.00 eV per formula unit


Entry 16:
! PBE RbTl8Bi2, optimized geometry; values from VASP
&SYSTEM
  ibrav = 0, nat = 11, ntyp = 3
/
ATOMIC_SPECIES
Rb 85.47 Rb.upf
Tl 204.38 Tl.upf
Bi 208.98 Bi.upf
ATOMIC_POSITIONS angstrom
Rb 0.000 0.000 0.000
Tl 1.734 1.734 3.058
Tl 1.734 1.734 7.483
Tl 1.734 5.123 3.058
Tl 1.734 5.123 7.483
Tl 5.123 1.734 3.058
Tl 5.123 1.734 7.483
Tl 5.123 5.123 3.058
Tl 5.123 5.123 7.483
Bi 0.000 3.429 5.271
Bi 3.429 0.000 5.271
CELL_PARAMETERS angstrom
6.858 0.000 0.000
0.000 6.858 0.000
0.000 0.000 10.541
! Total energy   -2.48 eV/atom
! Density of states at the Fermi level   0.55 states/eV per atom


Entry 17:
! PBE RbTl10Bi2, optimized geometry; values from VASP
&SYSTEM
  ibrav = 0, nat = 13, ntyp = 3
/
ATOMIC_SPECIES
Rb 85.47 Rb.upf
Tl 204.38 Tl.upf
Bi 208.98 Bi.upf
ATOMIC_POSITIONS angstrom
Rb 0.000 0.000 0.000
Tl 1.620 0.000 4.168
Tl 3.240 5.295 2.999
Tl 3.240 6.493 6.607
Tl 3.240 11.203 2.999
Tl 3.240 6.493 10.066
Tl 1.620 8.249 4.168
Tl 3.240 10.005 6.607
Tl 3.240 5.295 13.673
Tl 3.240 10.005 10.066
Tl 3.240 11.203 13.673
Bi 1.620 4.124 0.000
Bi 1.620 4.124 8.336
CELL_PARAMETERS angstrom
0.000 8.249 8.336
3.240 0.000 8.336
3.240 8.249 0.000
! Total energy   -2.52 eV/atom
! Density of states at the Fermi level   0.50 states/eV per atom


Entry 18:
! PBE RbTl12Bi6, optimized geometry; values from VASP
&SYSTEM
  ibrav = 0, nat = 19, ntyp = 3
/
ATOMIC_SPECIES
Rb 85.47 Rb.upf
Tl 204.38 Tl.upf
Bi 208.98 Bi.upf
ATOMIC_POSITIONS angstrom
Rb 0.000 0.000 0.000
Tl 5.510 -2.597 3.291
Tl 2.913 2.220 0.000
Tl 8.108 2.220 0.000
Tl 3.291 5.510 -2.597
Tl 2.220 0.000 2.913
Tl 0.000 2.913 2.220
Tl 5.510 2.597 3.291
Tl 3.291 5.510 2.597
Tl 2.220 0.000 8.108
Tl -2.597 3.291 5.510
Tl 2.597 3.291 5.510
Tl 0.000 8.108 2.220
Bi 5.510 0.000 1.518
Bi 5.510 3.992 0.000
Bi 1.518 5.510 0.000
Bi 3.992 0.000 5.510
Bi 0.000 1.518 5.510
Bi 0.000 5.510 3.992
CELL_PARAMETERS angstrom
-5.510 5.510 5.510
5.510 -5.510 5.510
5.510 5.510 -5.510
! Total energy   -2.77 eV/atom
! Density of states at the Fermi level   0.33 states/eV per atom


Entry 19:
! PBE Rb4Tl5Bi, optimized geometry; values from VASP
&SYSTEM
  ibrav = 0, nat = 10, ntyp = 3
/
ATOMIC_SPECIES
Rb 85.47 Rb.upf
Tl 204.38 Tl.upf
Bi 208.98 Bi.upf
ATOMIC_POSITIONS angstrom
Rb 0.000 0.000 0.000
Rb 3.789 2.188 3.554
Rb 7.571 3.202 6.756
Rb 11.363 6.755 4.568
Tl 7.621 6.108 4.118
Tl 7.615 7.321 0.648
Tl 7.619 2.638 2.907
Tl 11.399 3.849 7.206
Tl 9.333 4.979 1.774
Bi 5.805 4.979 1.781
CELL_PARAMETERS angstrom
7.575 0.000 0.000
3.786 7.769 0.000
3.785 0.000 7.769
! Total energy   -2.11 eV/atom
! Density of states at the Fermi level   0.11 states/eV per atom


Entry 20:
! PBE Rb3Tl2Bi2, optimized geometry; values from VASP
&SYSTEM
  ibrav = 0, nat = 7, ntyp = 3
/
ATOMIC_SPECIES
Rb 85.47 Rb.upf
Tl 204.38 Tl.upf
Bi 208.98 Bi.upf
ATOMIC_POSITIONS angstrom
Rb 0.000 0.000 0.000
Rb 2.467 0.000 4.322
Rb 0.000 2.868 7.224
Tl 0.000 0.000 10.037
Tl 0.000 0.000 13.056
Bi 2.467 0.000 8.276
Bi 0.000 2.868 3.271
CELL_PARAMETERS angstrom
-2.467 2.868 11.547
2.467 -2.868 11.547
2.467 2.868 -11.547
! Total energy   -2.43 eV/atom
! Density of states at the Fermi level   0.51 states/eV per atom


Entry 21:
! PBE Rb3TlBi3, optimized geometry; values from VASP
&SYSTEM
  ibrav = 0, nat = 14, ntyp = 3
/
ATOMIC_SPECIES
Rb 85.47 Rb.upf
Tl 204.38 Tl.upf
Bi 208.98 Bi.upf
ATOMIC_POSITIONS angstrom
Rb -1.992 0.000 5.994
Rb -4.472 0.000 14.739
Rb 1.867 0.000 3.582
Rb 5.247 0.000 12.436
Rb 11.586 0.000 1.279
Rb 9.106 0.000 10.024
Tl -0.348 0.000 9.510
Tl 7.461 0.000 6.507
Bi 2.172 0.000 7.373
Bi -0.547 0.000 14.849
Bi 1.241 0.000 12.390
Bi 5.873 0.000 3.628
Bi 7.660 0.000 1.169
Bi 4.942 0.000 8.645
CELL_PARAMETERS angstrom
6.679 -2.942 0.000
6.679 2.942 0.000
-6.244 0.000 16.017
! Total energy   -2.71 eV/atom
! Density of states at the Fermi level   0.53 states/eV per atom


Entry 22:
! PBE RbTl2Bi, optimized geometry; values from VASP
&SYSTEM
  ibrav = 0, nat = 8, ntyp = 3
/
ATOMIC_SPECIES
Rb 85.47 Rb.upf
Tl 204.38 Tl.upf
Bi 208.98 Bi.upf
ATOMIC_POSITIONS angstrom
Rb 0.000 0.000 0.000
Rb 0.000 4.774 1.822
Tl 2.387 -1.881 2.733
Tl 2.893 2.387 0.911
Tl 2.387 6.656 -0.911
Tl 1.881 2.387 4.555
Bi 4.774 0.000 1.822
Bi 0.000 0.000 3.644
CELL_PARAMETERS angstrom
-4.774 4.774 3.644
4.774 -4.774 3.644
4.774 4.774 -3.644
! Density of states at the Fermi level   0.22 states/eV per atom
! E above lowest polymorph   0.52 eV per formula unit


Entry 23:
! PBE Rb3Tl2Bi4, optimized geometry; values from VASP
&SYSTEM
  ibrav = 0, nat = 9, ntyp = 3
/
ATOMIC_SPECIES
Rb 85.47 Rb.upf
Tl 204.38 Tl.upf
Bi 208.98 Bi.upf
ATOMIC_POSITIONS angstrom
Rb 0.000 0.000 0.000
Rb 2.798 2.342 6.412
Rb 5.590 7.089 2.994
Tl 2.799 4.602 3.172
Tl 5.589 4.829 6.234
Bi 2.796 6.629 5.977
Bi 2.802 5.462 8.876
Bi 5.585 3.969 0.529
Bi 5.592 2.802 3.428
CELL_PARAMETERS angstrom
5.586 0.000 0.000
2.792 6.803 0.000
0.010 2.628 9.405
! Density of states at the Fermi level   0.18 states/eV per atom
! E above lowest polymorph   0.00 eV per formula unit